Below is a relaxed NbGaFeAg crystal, with properties calculated at the PBE-GGA level.

Its total magnetic moment is 1.3 μB per formula unit. The calculated total energy is -23.6 eV per formula unit.

```
4
Lattice="-3.068 -1.094 3.030 -0.093 2.090 3.926 -3.306 2.825 0.938" Properties=species:S:1:pos:R:3 pbc="T T T"
Nb -3.233 1.910 3.947
Ga 0.000 0.000 0.000
Ag -1.617 0.955 1.974
Fe -4.850 2.866 5.921
```

---

Below is a relaxed Zr3Tl2OF12 crystal, with properties calculated at the PBE-GGA level.

Its total magnetic moment is 0.0 μB per formula unit. The calculated total energy is -116.5 eV per formula unit.

```
36
Lattice="7.181 -1.328 2.346 -2.340 7.187 -1.307 1.119 2.255 10.392" Properties=species:S:1:pos:R:3 pbc="T T T"
F -0.889 5.478 1.571
F 6.056 5.073 9.416
F 1.289 0.907 2.679
F 4.415 3.086 9.064
F -0.818 2.511 -0.457
F -1.523 4.676 -0.851
F 3.150 3.812 0.676
F 5.781 0.970 7.935
F 1.546 5.027 2.367
F 6.850 2.636 9.859
F 1.526 3.007 4.248
F 0.989 7.888 7.549
F 2.189 4.202 8.219
F 2.509 -0.464 0.820
F 1.386 5.670 6.187
F 0.180 7.144 3.496
F -0.096 3.041 2.015
F 3.771 3.911 3.211
F 4.971 0.226 3.882
F 4.575 2.444 5.244
F 1.691 2.047 0.363
F 4.672 -0.864 1.526
F 4.672 7.207 8.752
F 4.434 5.106 7.182
Zr 5.290 2.334 3.365
Zr 0.671 5.779 8.066
Zr 0.751 6.861 1.586
Zr 5.209 1.252 9.844
Zr 2.029 2.938 2.300
Zr 3.932 5.176 9.131
Tl 2.312 1.947 6.568
Tl 0.000 0.000 0.000
Tl 3.649 6.166 4.862
Tl -0.610 4.721 4.542
O 2.344 6.503 9.050
O 3.617 1.611 2.381
```

---

Below is a relaxed K4Hf5O12 crystal, with properties calculated at the PBE-GGA level.

Its total magnetic moment is 0.0 μB per formula unit. The calculated total energy is -176.9 eV per formula unit.

```
21
Lattice="-1.791 5.466 0.495 -1.310 -3.050 -4.723 -8.713 -3.265 4.525" Properties=species:S:1:pos:R:3 pbc="T T T"
O -9.045 -4.515 0.113
O -6.131 -3.484 0.423
O -9.950 -1.752 0.363
O -5.683 2.635 -0.125
O -4.839 0.059 -0.359
O -4.221 1.496 1.868
O -8.383 -2.973 2.501
O -6.975 -0.908 0.656
O -1.864 0.903 -0.066
O -2.769 3.666 0.184
O -7.593 -2.345 -1.570
O -3.431 2.124 -2.203
Hf -5.621 -1.767 -0.828
Hf -3.521 1.919 -0.262
Hf 0.000 0.000 0.000
Hf -8.293 -2.768 0.560
Hf -6.193 0.917 1.126
K -5.914 1.361 -2.767
K -9.357 -0.268 2.768
K -5.900 -2.210 3.064
K -2.457 -0.581 -2.471
```

---

Below is a relaxed SmO2 crystal, with properties calculated at the PBE-GGA level.

Its total magnetic moment is 1.0 μB per formula unit. The calculated total energy is -20.9 eV per formula unit.

```
6
Lattice="3.523 2.034 5.754 -3.523 2.034 5.754 0.000 -4.068 5.754" Properties=species:S:1:pos:R:3 pbc="T T T"
O -1.762 1.017 9.350
O 0.000 -2.034 9.350
O 1.762 1.017 9.350
O 0.000 0.000 6.473
Sm 0.000 0.000 4.315
Sm 0.000 0.000 8.630
```

---

Below is a relaxed Hf4CoAuC2 crystal, with properties calculated at the PBE-GGA level.

Its total magnetic moment is 0.1 μB per formula unit. The calculated total energy is -73.2 eV per formula unit.

```
8
Lattice="3.249 0.000 0.000 -1.624 2.813 0.000 0.000 0.000 13.656" Properties=species:S:1:pos:R:3 pbc="T T T"
C 0.000 1.876 10.110
C 0.000 1.876 3.546
Co 1.624 0.938 6.828
Hf 0.000 0.000 8.744
Hf 1.624 0.938 2.282
Hf 0.000 0.000 4.912
Hf 1.624 0.938 11.374
Au 0.000 0.000 0.000
```

---

Below is a relaxed Li2TcF6 crystal, with properties calculated at the PBE-GGA level.

Its total magnetic moment is 3.0 μB per formula unit. The calculated total energy is -46.7 eV per formula unit.

```
9
Lattice="5.374 0.000 0.000 -2.687 4.654 0.000 0.000 0.000 4.205" Properties=species:S:1:pos:R:3 pbc="T T T"
Li 0.000 3.103 2.195
Li 2.687 1.551 2.010
Tc 0.000 0.000 0.000
F 0.000 1.615 1.072
F 2.687 3.039 3.133
F 3.975 0.808 3.133
F 1.399 0.808 3.133
F -1.288 3.846 1.072
F 1.288 3.846 1.072
```